A plane-wave DFT calculation with PBE was carried out for a relaxed Pd2S crystal.

extended XYZ file:
```
3
Lattice="3.749 0.000 0.000 -1.874 3.246 -0.008 0.000 0.009 3.956" Properties=species:S:1:pos:R:3 pbc="T T T"
Pd 1.874 1.089 2.786
Pd 0.000 2.167 1.162
S 0.000 0.000 0.000
```

VASP energy: -4.95 eV per atom
formation energy from raw total energies: -0.11 eV per atom
size of the total moment: 0.0 μB/f.u.
SG: No. 164
D(E_F): 1.8 states/eV/f.u.